12
Lattice="7.510 -0.436 -3.535 -4.377 6.958 -1.226 -0.274 0.436 8.295" Properties=species:S:1:pos:R:3 comment="Nd3Ho8In, relaxed, DFT GGA-PBE" formation_energy_ev_per_fu=6.02 density_g_cm3=7.355 spacegroup=I-42m dft_energy_ev_per_cell=-47.6 pbc="T T T"
Nd 0.403 5.110 -0.613
Nd 2.455 1.848 4.148
Nd -2.326 3.697 3.535
Ho 2.545 1.710 0.075
Ho 0.215 5.404 3.609
Ho -3.301 5.248 1.082
Ho -1.252 1.990 5.838
Ho 0.137 2.682 1.778
Ho 5.033 0.602 -1.756
Ho -2.964 4.712 6.491
Ho -3.999 6.356 4.091
In 0.000 0.000 0.000

---

5
Lattice="4.589 0.000 0.000 0.000 4.589 0.000 0.000 0.000 4.622" Properties=species:S:1:pos:R:3 comment="KCdO2F, relaxed, DFT GGA-PBE" density_g_cm3=3.455 spacegroup=P4/mmm dft_energy_ev_per_cell=-13.8 pbc="T T T"
K 0.000 0.000 0.000
F 0.000 0.000 2.311
O 0.000 2.294 0.000
O 2.294 0.000 0.000
Cd 2.294 2.294 2.311

---

5
Lattice="4.856 0.000 0.000 0.000 5.872 0.000 0.000 0.000 4.856" Properties=species:S:1:pos:R:3 comment="RbNb2FeAs, relaxed, DFT GGA-PBE" formation_energy_ev_per_fu=8.51 density_g_cm3=4.822 spacegroup=P4/mmm dft_energy_ev_per_cell=-25.7 pbc="T T T"
Nb 0.000 0.000 2.428
Nb 2.428 0.000 0.000
As 0.000 0.000 0.000
Rb 0.000 2.936 0.000
Fe 2.428 2.936 2.428

---

10
Lattice="6.902 0.000 0.000 0.000 8.191 0.000 0.000 -4.096 7.094" Properties=species:S:1:pos:R:3 comment="Cs2MnCuI6, relaxed, DFT GGA-PBE" density_g_cm3=4.744 de_polymorph_mev_per_atom=8 spacegroup=P-3m1 dft_energy_ev_per_cell=-32.0 pbc="T T T"
Cs 1.692 0.000 4.729
Cs 5.210 4.096 2.365
Mn 0.000 0.000 0.000
Cu 3.451 0.000 0.000
I 5.180 0.000 2.277
I 5.180 -2.124 5.956
I 5.180 2.124 5.956
I 1.722 6.220 1.138
I 1.722 1.972 1.138
I 1.722 4.096 4.817

---

N(E_F) / states/eV/cell: 18.28; 2.72; 8.19; 6.96